Entry 1:
Here is ScCd3P after structural relaxation from Alexandria via LeMat-Bulk. Energies are from PBE-GGA.

```
ScCd3P
1.0
5.488 0.000 0.000
0.000 5.488 0.000
0.000 0.000 5.488
Cd Sc P
3 1 1
Direct
0.500 0.000 0.000
0.000 0.500 0.000
0.000 0.000 0.500
0.000 0.000 0.000
0.500 0.500 0.500
```

Calculated values
space-group type	Pm-3m, No. 221
theoretical density	4.15	Mg/m³
distance to the lowest polymorph of the same formula	634	meV/atom
ΔH_f (0 K)	1.0664	eV per atom

***

Entry 2:
Here is La3Cd3Hg2 after structural relaxation from Alexandria via LeMat-Bulk. Energies are from PBE-GGA.

```
La3Cd3Hg2
1.0
4.136 0.000 0.000
0.000 7.016 -4.051
0.000 0.000 8.101
Cd Hg La
3 2 3
Direct
0.000 0.774 0.774
0.000 0.226 0.000
0.000 0.000 0.226
0.000 0.333 0.667
0.000 0.667 0.333
0.500 0.604 0.000
0.500 0.396 0.396
0.500 0.000 0.604
```

Calculated values
space-group type	P-62m, No. 189
theoretical density	8.16	Mg/m³
ΔH_f (0 K)	-0.3660	eV per atom

***

Entry 3:
Here is KMg3N after structural relaxation from Alexandria via LeMat-Bulk. Energies are from PBE-GGA.

```
KMg3N
1.0
-3.033 -5.817 1.288
5.665 -3.264 -1.396
1.843 0.458 6.410
Mg K N
3 1 1
Direct
0.000 0.000 0.500
0.500 0.000 0.000
0.000 0.500 0.000
0.000 0.000 0.000
0.500 0.500 0.500
```

Calculated values
space-group type	Pm-3m, No. 221
theoretical density	0.70	Mg/m³
formation energy from raw total energies	2137	meV/atom
distance to the lowest polymorph of the same formula	1869	meV/atom